1.
The following is a meta-GGA SCAN calculation of Nd2Si5Ni3 at its PBEsol-relaxed geometry, from Alexandria via LeMat-Bulk.

The structure in CIF format:
```
data_Nd2Si5Ni3
_chemical_formula_sum 'Nd8 Si20 Ni12'
_symmetry_space_group_name_H-M 'I b a m'
_symmetry_Int_Tables_number 72
_symmetry_space_group_name_Hall '-I 2 2c'
_cell_length_a 9.563
_cell_length_b 11.253
_cell_length_c 5.699
_cell_angle_alpha 90.00
_cell_angle_beta 90.00
_cell_angle_gamma 90.00
loop_
_atom_site_label
_atom_site_type_symbol
_atom_site_fract_x
_atom_site_fract_y
_atom_site_fract_z
_atom_site_occupancy
Nd1 Nd 0.238 0.131 0.000 1
Si1 Si 0.000 0.000 0.250 1
Si2 Si 0.000 0.263 0.250 1
Si3 Si 0.148 0.392 0.000 1
Ni1 Ni 0.000 0.500 0.250 1
Ni2 Ni 0.111 0.133 0.500 1
```

Values from the calculation:
As for the raw formation energy: -7.964 eV/f.u.

---

2.
The following is a meta-GGA SCAN calculation of NdNi2Sn2 at its PBEsol-relaxed geometry, from Alexandria via LeMat-Bulk.

The structure in CIF format:
```
data_NdNi2Sn2
_chemical_formula_sum 'Nd2 Ni4 Sn4'
_symmetry_space_group_name_H-M 'P 4/n m m'
_symmetry_Int_Tables_number 129
_cell_length_a 4.380
_cell_length_b 4.380
_cell_length_c 10.030
_cell_angle_alpha 90.00
_cell_angle_beta 90.00
_cell_angle_gamma 90.00
loop_
_symmetry_equiv_pos_as_xyz
'x,y,z'
'-x,-y,-z'
'-y+1/2,x,z'
'y+1/2,-x,-z'
'-x+1/2,-y+1/2,z'
'x+1/2,y+1/2,-z'
'y,-x+1/2,z'
'-y,x+1/2,-z'
'x+1/2,-y,-z'
'-x+1/2,y,z'
'-y,-x,-z'
'y,x,z'
'-x,y+1/2,-z'
'x,-y+1/2,z'
'y+1/2,x+1/2,-z'
'-y+1/2,-x+1/2,z'
loop_
_atom_site_label
_atom_site_type_symbol
_atom_site_fract_x
_atom_site_fract_y
_atom_site_fract_z
_atom_site_occupancy
Nd1 Nd 0.250 0.250 0.240 1
Ni1 Ni 0.250 0.250 0.628 1
Ni2 Ni 0.250 0.750 0.000 1
Sn1 Sn 0.250 0.250 0.875 1
Sn2 Sn 0.250 0.750 0.500 1
```

Values from the calculation:
Its formation energy is -0.5775 eV/atom.

---

3.
The following is a meta-GGA SCAN calculation of Nd3NiSn7 at its PBEsol-relaxed geometry, from Alexandria via LeMat-Bulk.

The structure in CIF format:
```
data_Nd3NiSn7
_chemical_formula_sum 'Nd6 Ni2 Sn14'
_symmetry_space_group_name_H-M 'A m m 2'
_symmetry_Int_Tables_number 38
_cell_length_a 4.500
_cell_length_b 4.490
_cell_length_c 26.946
_cell_angle_alpha 90.00
_cell_angle_beta 90.00
_cell_angle_gamma 90.00
loop_
_symmetry_equiv_pos_as_xyz
'x,y,z'
'-x,-y,z'
'-x,y,z'
'x,-y,z'
'x,y+1/2,z+1/2'
'-x,-y+1/2,z+1/2'
'-x,y+1/2,z+1/2'
'x,-y+1/2,z+1/2'
loop_
_atom_site_label
_atom_site_type_symbol
_atom_site_fract_x
_atom_site_fract_y
_atom_site_fract_z
_atom_site_occupancy
Nd1 Nd 0.000 0.000 0.000 1
Nd2 Nd 0.000 0.000 0.372 1
Nd3 Nd 0.500 0.000 0.685 1
Ni1 Ni 0.500 0.000 0.557 1
Sn1 Sn 0.000 0.000 0.189 1
Sn2 Sn 0.000 0.000 0.596 1
Sn3 Sn 0.000 0.000 0.781 1
Sn4 Sn 0.500 0.000 0.096 1
Sn5 Sn 0.500 0.000 0.281 1
Sn6 Sn 0.500 0.000 0.465 1
Sn7 Sn 0.500 0.000 0.896 1
```

Values from the calculation:
Its formation energy is -0.6629 eV/atom.